(1)
First-principles (PBE) data for a relaxed structure of Pm2MgZn3, as listed in Alexandria via LeMat-Bulk.

DFT formation energy ... -24.8 kJ per mole of atoms
Energy relative to the lowest polymorph listed for this composition ... 0.055 eV/atom
Total DFT energy (no corrections) ... -2.7435 eV per atom

a b c (Å): 5.7624 5.7624 9.0408
angles (deg): 90.00 90.00 120.00
Space group P6_3/mmc (No. 194)
Symmetry-distinct sites (fractional):
Pm 0.3333 0.6667 0.0706
Mg 0.0000 0.0000 0.0000
Zn 0.1762 0.3524 0.7500


(2)
First-principles (PBE) data for a relaxed structure of LaCeHgRu, as listed in Alexandria via LeMat-Bulk.

DFT formation energy ... -20.0 kJ per mole of atoms
Energy relative to the lowest polymorph listed for this composition ... 0.132 eV/atom
Total DFT energy (no corrections) ... -5.3175 eV per atom

a b c (Å): 7.3663 7.3663 7.3663
angles (deg): 90.00 90.00 90.00
Space group F-43m (No. 216)
Symmetry-distinct sites (fractional):
La 0.0000 0.0000 0.0000
Ce 0.0000 0.0000 0.5000
Hg 0.2500 0.2500 0.7500
Ru 0.2500 0.2500 0.2500


(3)
First-principles (PBE) data for a relaxed structure of BeAl2Cd, as listed in Alexandria via LeMat-Bulk.

DFT formation energy ... 43.9 kJ per mole of atoms
Energy relative to the lowest polymorph listed for this composition ... 0.244 eV/atom
Total DFT energy (no corrections) ... -2.5769 eV per atom

a b c (Å): 6.4607 6.4607 6.4607
angles (deg): 90.00 90.00 90.00
Space group Fm-3m (No. 225)
Symmetry-distinct sites (fractional):
Be 0.0000 0.0000 0.0000
Al 0.2500 0.2500 0.2500
Cd 0.0000 0.0000 0.5000


(4)
First-principles (PBE) data for a relaxed structure of Rb, as listed in Alexandria via LeMat-Bulk.

DFT formation energy ... 23.9 kJ per mole of atoms
Energy relative to the lowest polymorph listed for this composition ... 0.248 eV/atom
Total DFT energy (no corrections) ... -0.7197 eV per atom

a b c (Å): 14.2917 14.2917 14.2917
angles (deg): 90.00 90.00 90.00
Space group I-43m (No. 217)
Symmetry-distinct sites (fractional):
Rb 0.1202 0.1202 0.8798
Rb 0.1967 0.1967 0.1967


(5)
First-principles (PBE) data for a relaxed structure of MgSc2Ni, as listed in Alexandria via LeMat-Bulk.

DFT formation energy ... -1.0 kJ per mole of atoms
Total DFT energy (no corrections) ... -5.0197 eV per atom

a b c (Å): 4.0928 4.0928 9.1427
angles (deg): 90.00 90.00 90.00
Space group I-4m2 (No. 119)
Symmetry-distinct sites (fractional):
Mg 0.0000 0.0000 0.0000
Sc 0.0000 0.0000 0.5000
Sc 0.0000 0.5000 0.2500
Ni 0.0000 0.5000 0.7500


(6)
First-principles (PBE) data for a relaxed structure of AlH2Pd5, as listed in Alexandria via LeMat-Bulk.

Energy relative to the lowest polymorph listed for this composition ... 0.000 eV/atom
Total DFT energy (no corrections) ... -4.8198 eV per atom

a b c (Å): 3.9123 3.9123 13.2324
angles (deg): 90.00 90.00 90.00
Space group I4/mmm (No. 139)
Symmetry-distinct sites (fractional):
Al 0.0000 0.0000 0.0000
H 0.0000 0.0000 0.3384
Pd 0.0000 0.0000 0.5000
Pd 0.0000 0.5000 0.1464


(7)
First-principles (PBE) data for a relaxed structure of Ca2NdN, as listed in Alexandria via LeMat-Bulk.

Energy relative to the elements, uncorrected ... -0.4381 eV/atom
Total DFT energy (no corrections) ... -4.7122 eV per atom

a b c (Å): 3.5481 3.5481 30.1003
angles (deg): 90.00 90.00 120.00
Space group R-3m (No. 166, hexagonal axes)
Symmetry-distinct sites (fractional):
Ca 0.0000 0.0000 0.1245
Nd 0.0000 0.0000 0.0000
N 0.0000 0.0000 0.5000


(8)
First-principles (PBE) data for a relaxed structure of AgSb2N2, as listed in Alexandria via LeMat-Bulk.

Energy relative to the elements, uncorrected ... 0.1227 eV/atom
Total DFT energy (no corrections) ... -5.4267 eV per atom

a b c (Å): 3.0952 3.1594 13.7886
angles (deg): 88.08 88.98 89.90
Space group P-1 (No. 2)
Symmetry-distinct sites (fractional):
Ag 0.0000 0.0000 0.0000
Sb 0.4864 0.9726 0.1758
N 0.0055 0.4968 0.4596


(9)
First-principles (PBE) data for a relaxed structure of Nb5Pd, as listed in Alexandria via LeMat-Bulk.

DFT formation energy ... 10.0 kJ per mole of atoms
Energy relative to the lowest polymorph listed for this composition ... 0.216 eV/atom
Total DFT energy (no corrections) ... -9.1535 eV per atom

a b c (Å): 2.8724 2.8724 15.1638
angles (deg): 90.00 90.00 120.00
Space group P-6m2 (No. 187)
Symmetry-distinct sites (fractional):
Nb 0.0000 0.0000 0.0000
Nb 0.0000 0.0000 0.3462
Nb 0.3333 0.6667 0.1734
Pd 0.3333 0.6667 0.5000


(10)
First-principles (PBE) data for a relaxed structure of LiMnCl6, as listed in Alexandria via LeMat-Bulk.

Energy relative to the lowest polymorph listed for this composition ... 0.000 eV/atom
Energy relative to the elements, uncorrected ... -0.8689 eV/atom
Total DFT energy (no corrections) ... -3.6393 eV per atom

a b c (Å): 6.2142 11.9627 6.8333
angles (deg): 90.00 115.50 90.00
Space group C2/m (No. 12)
Symmetry-distinct sites (fractional):
Li 0.0000 0.0000 0.0000
Mn 0.0000 0.0000 0.5000
Cl 0.0271 0.1336 0.7443
Cl 0.0887 0.5000 0.3547


(11)
First-principles (PBE) data for a relaxed structure of KGdDy2, as listed in Alexandria via LeMat-Bulk.

DFT formation energy ... 24.4 kJ per mole of atoms
Total DFT energy (no corrections) ... -5.8425 eV per atom

a b c (Å): 3.5763 3.5763 39.7304
angles (deg): 90.00 90.00 120.00
Space group R-3m (No. 166, hexagonal axes)
Symmetry-distinct sites (fractional):
K 0.0000 0.0000 0.0000
Gd 0.0000 0.0000 0.5000
Dy 0.0000 0.0000 0.0953


(12)
First-principles (PBE) data for a relaxed structure of Fe2AsP, as listed in Alexandria via LeMat-Bulk.

DFT formation energy ... -15.9 kJ per mole of atoms
Total DFT energy (no corrections) ... -6.9110 eV per atom

a b c (Å): 2.8402 3.1207 11.7856
angles (deg): 90.00 90.00 90.00
Space group Imm2 (No. 44)
Symmetry-distinct sites (fractional):
Fe 0.0000 0.0000 0.0000
Fe 0.0000 0.5000 0.2908
As 0.0000 0.0000 0.6117
P 0.0000 0.5000 0.8617